1.
Here is CsLi2S2 after structural relaxation from Alexandria. Energies are from PBE-GGA.

a = 4.3174 Å, b = 4.3174 Å, c = 7.2086 Å
α = 72.57°, β = 72.57°, γ = 90.00°
With the nearest neighbours (Å) after each atom.
Element x y z (fractional)
S1 0.3399 0.3399 0.3201  4 Li 2.46
S2 0.6601 0.6601 0.6799  4 Li 2.46
Li1 0.7500 0.2500 0.5000  4 S 2.46
Li2 0.2500 0.7500 0.5000  4 S 2.46
Cs1 0.0000 0.0000 0.0000  8 S 3.70, 8 Li 3.91

Results
The value obtained for the offset from the most stable computed form is 0 meV per atom. Its crystal system is tetragonal. The value obtained for the uncorrected formation energy is -1.00 eV per atom.

***

2.
Here is CsHoGe2Br8 after structural relaxation from Alexandria. Energies are from PBE-GGA.

a = 7.4074 Å, b = 6.6902 Å, c = 10.3123 Å
α = 92.99°, β = 86.07°, γ = 82.97°
With the nearest neighbours (Å) after each atom.
Element x y z (fractional)
Br1 0.3982 0.2557 0.6017  1 Ge 2.44
Br2 0.8220 0.2264 0.8208  1 Ho 2.75, 1 Ge 3.04
Br3 0.1780 0.7736 0.1792  1 Ho 2.75, 1 Ge 3.04
Br4 0.8652 0.2781 0.2102  1 Ge 2.77, 1 Ho 2.83
Br5 0.3079 0.2152 0.9755  1 Ge 2.60, 1 Ho 2.85
Br6 0.6018 0.7443 0.3983  1 Ge 2.44
Br7 0.6921 0.7848 0.0245  1 Ge 2.60, 1 Ho 2.85
Br8 0.1348 0.7219 0.7898  1 Ge 2.77, 1 Ho 2.83
Ho1 0.0000 0.0000 0.0000  6 Br 2.75-2.85
Ge1 0.4395 0.4425 0.8051  2 Br 2.44-2.60
Ge2 0.5605 0.5575 0.1949  2 Br 2.44-2.60
Cs1 0.0000 0.0000 0.5000  6 Br 3.66-3.77

Results
Its crystal system is triclinic. The value obtained for the uncorrected formation energy is -1.18 eV per atom.

***

3.
Here is Pm2US5 after structural relaxation from Alexandria. Energies are from PBE-GGA.

a = 7.4809 Å, b = 8.0312 Å, c = 11.9115 Å
α = 90.00°, β = 90.00°, γ = 90.00°
With the nearest neighbours (Å) after each atom.
Element x y z (fractional)
S1 0.0454 0.2500 0.5003  1 U 2.87, 4 Pm 2.92-2.96, 1 S 3.20
S2 0.8393 0.0420 0.9032  2 U 2.66-2.71, 2 Pm 2.89-2.90
S3 0.8026 0.7500 0.2143  1 U 2.82, 4 Pm 2.90-2.93
S4 0.1974 0.2500 0.7857  1 U 2.82, 4 Pm 2.90-2.93
S5 0.6974 0.7500 0.7142  1 U 2.82, 4 Pm 2.90-2.93
S6 0.6712 0.2500 0.6855  1 U 2.78, 4 Pm 2.96-3.05
S7 0.8288 0.2500 0.1856  1 U 2.78, 4 Pm 2.96-3.05
S8 0.1712 0.7500 0.8144  1 U 2.78, 4 Pm 2.96-3.05
S9 0.1607 0.5420 0.0968  2 U 2.66-2.71, 2 Pm 2.89-2.90
S10 0.6607 0.4580 0.4033  2 U 2.66-2.71, 2 Pm 2.89-2.90
S11 0.8393 0.4580 0.9032  2 U 2.66-2.71, 2 Pm 2.89-2.90
S12 0.3026 0.2500 0.2858  1 U 2.82, 4 Pm 2.90-2.93
S13 0.4546 0.2500 0.0003  1 U 2.87, 4 Pm 2.92-2.96, 1 S 3.20
S14 0.6607 0.0420 0.4033  2 U 2.66-2.71, 2 Pm 2.89-2.90
S15 0.3288 0.7500 0.3145  1 U 2.78, 4 Pm 2.96-3.05
S16 0.5454 0.7500 0.9997  1 U 2.87, 4 Pm 2.92-2.96, 1 S 3.20
S17 0.3393 0.9580 0.5967  2 U 2.66-2.71, 2 Pm 2.89-2.90
S18 0.1607 0.9580 0.0968  2 U 2.66-2.71, 2 Pm 2.89-2.90
S19 0.3393 0.5420 0.5967  2 U 2.66-2.71, 2 Pm 2.89-2.90
S20 0.9546 0.7500 0.4997  1 U 2.87, 4 Pm 2.92-2.96, 1 S 3.20
Pm1 0.9779 0.5007 0.6774  8 S 2.89-3.05
Pm2 0.5221 0.5007 0.1775  8 S 2.89-3.05
Pm3 0.9779 0.9993 0.6774  8 S 2.89-3.05
Pm4 0.4779 0.4993 0.8225  8 S 2.89-3.05
Pm5 0.4779 0.0007 0.8225  8 S 2.89-3.05
Pm6 0.0221 0.0007 0.3226  8 S 2.89-3.05
Pm7 0.5221 0.9993 0.1775  8 S 2.89-3.05
Pm8 0.0221 0.4993 0.3226  8 S 2.89-3.05
U1 0.5707 0.7500 0.4917  7 S 2.66-2.87
U2 0.4293 0.2500 0.5083  7 S 2.66-2.87
U3 0.0707 0.2500 0.0083  7 S 2.66-2.87
U4 0.9293 0.7500 0.9917  7 S 2.66-2.87

Results
The value obtained for the offset from the most stable computed form is 0 meV per atom. Its crystal system is orthorhombic. The value obtained for the uncorrected formation energy is -1.83 eV per atom.

***

4.
Here is In2SnSb after structural relaxation from Alexandria. Energies are from PBE-GGA.

a = 5.3621 Å, b = 5.3621 Å, c = 5.3621 Å
α = 60.00°, β = 60.00°, γ = 60.00°
With the nearest neighbours (Å) after each atom.
Element x y z (fractional)
Sb1 0.5000 0.5000 0.5000  8 In 3.28
In1 0.7500 0.7500 0.7500  4 Sn 3.28, 4 Sb 3.28
In2 0.2500 0.2500 0.2500  4 Sb 3.28, 4 Sn 3.28
Sn1 0.0000 0.0000 0.0000  8 In 3.28

Results
The value obtained for the offset from the most stable computed form is 37 meV per atom. Its crystal system is cubic. The value obtained for the uncorrected formation energy is 0.09 eV per atom.